YTeP2 | PBE | relaxed Values from VASP.

Quantum ESPRESSO input file:
```
&SYSTEM
  ibrav = 0, nat = 4, ntyp = 3
/
ATOMIC_SPECIES
P 30.97 P.upf
Te 127.60 Te.upf
Y 88.91 Y.upf
ATOMIC_POSITIONS crystal
P 0.5000 0.5000 0.1168
P 0.0000 0.0000 0.0286
Te 0.0000 0.0000 0.5523
Y 0.5000 0.5000 0.8022
CELL_PARAMETERS angstrom
-2.2728 -2.2958 0.9422
2.5894 -2.1085 0.4161
0.7928 2.6028 8.2541
```

Summary:
space group	Cmm2
final energy	-5.50	eV/atom
energy relative to the elements, uncorrected	-0.391	eV/atom

LaBi2Pb | PBE | relaxed Values from VASP.

Quantum ESPRESSO input file:
```
&SYSTEM
  ibrav = 0, nat = 4, ntyp = 3
/
ATOMIC_SPECIES
Pb 207.20 Pb.upf
Bi 208.98 Bi.upf
La 138.91 La.upf
ATOMIC_POSITIONS crystal
Pb 0.0000 0.0000 0.0000
Bi 0.1120 0.1120 0.6641
Bi 0.8880 0.8880 0.3359
La 0.5000 0.5000 0.5000
CELL_PARAMETERS angstrom
-0.3875 4.5763 2.2902
-4.5975 1.7670 1.4415
-0.6802 -1.7232 9.0783
```

Summary:
space group	R-3m
formation enthalpy at 0 K	0.0571	eV per atom
final energy	-4.04	eV/atom

SnP2Au | PBE | relaxed Values from VASP.

Quantum ESPRESSO input file:
```
&SYSTEM
  ibrav = 0, nat = 4, ntyp = 3
/
ATOMIC_SPECIES
P 30.97 P.upf
Sn 118.71 Sn.upf
Au 196.97 Au.upf
ATOMIC_POSITIONS crystal
P 0.2340 0.3357 0.4680
P 0.7660 0.6643 0.5320
Sn 0.5000 0.5000 0.0000
Au 0.0000 0.0000 0.0000
CELL_PARAMETERS angstrom
3.1630 0.0000 -1.0008
-0.5886 4.5860 -1.8601
0.2102 -0.6811 6.1627
```

Summary:
space group	C2/m
formation enthalpy at 0 K	-0.0874	eV per atom
final energy	-4.61	eV/atom

SnHg2Cl8 | PBE | relaxed Values from VASP.

Quantum ESPRESSO input file:
```
&SYSTEM
  ibrav = 0, nat = 11, ntyp = 3
/
ATOMIC_SPECIES
Cl 35.45 Cl.upf
Hg 200.59 Hg.upf
Sn 118.71 Sn.upf
ATOMIC_POSITIONS crystal
Cl 0.2307 0.0618 0.7556
Cl 0.1843 0.2150 0.2150
Cl 0.2290 0.5589 0.5589
Cl 0.2307 0.7556 0.0618
Cl 0.8157 0.7850 0.7850
Cl 0.7693 0.9382 0.2444
Cl 0.7710 0.4411 0.4411
Cl 0.7693 0.2444 0.9382
Hg 0.5354 0.2816 0.2816
Hg 0.4646 0.7184 0.7184
Sn 0.0000 0.0000 0.0000
CELL_PARAMETERS angstrom
-1.7689 -5.4098 -3.1031
7.2493 -1.6143 -1.9375
0.3039 -4.1531 6.4476
```

Summary:
space group	C2/m
final energy	-2.43	eV/atom
energy relative to the elements, uncorrected	-0.667	eV/atom

Mn4ZnNi5 | PBE | relaxed Values from VASP.

Quantum ESPRESSO input file:
```
&SYSTEM
  ibrav = 0, nat = 10, ntyp = 3
/
ATOMIC_SPECIES
Ni 58.69 Ni.upf
Zn 65.41 Zn.upf
Mn 54.94 Mn.upf
ATOMIC_POSITIONS crystal
Ni 0.5000 0.5000 0.7017
Ni 0.5000 0.5000 0.5000
Ni 0.5000 0.5000 0.1000
Ni 0.5000 0.5000 0.9000
Ni 0.5000 0.5000 0.2983
Zn 0.0000 0.0000 0.0000
Mn 0.0000 0.0000 0.3991
Mn 0.0000 0.0000 0.6009
Mn 0.0000 0.0000 0.1972
Mn 0.0000 0.0000 0.8028
CELL_PARAMETERS angstrom
-1.1181 2.1517 -1.6652
-1.7287 0.8284 2.2312
10.1923 8.8614 4.6067
```

Summary:
space group	P4/mmm
formation enthalpy at 0 K	-0.0795	eV per atom
final energy	-6.77	eV/atom

Li2HoPuAu4 | PBE | relaxed Values from VASP.

Quantum ESPRESSO input file:
```
&SYSTEM
  ibrav = 0, nat = 8, ntyp = 4
/
ATOMIC_SPECIES
Au 196.97 Au.upf
Ho 164.93 Ho.upf
Li 6.94 Li.upf
Pu 244.00 Pu.upf
ATOMIC_POSITIONS crystal
Au 0.8865 0.8865 0.3405
Au 0.6086 0.6086 0.1741
Au 0.1135 0.1135 0.6595
Au 0.3914 0.3914 0.8259
Ho 0.5000 0.5000 0.5000
Li 0.2474 0.2474 0.2579
Li 0.7526 0.7526 0.7421
Pu 0.0000 0.0000 0.0000
CELL_PARAMETERS angstrom
-1.0109 -2.8354 -3.4358
1.6032 -4.2773 0.0217
-7.3054 -5.1602 3.3714
```

Summary:
space group	R-3m
formation enthalpy at 0 K	-0.5808	eV per atom
final energy	-5.06	eV/atom

Question: Which value of final energy does entry 3 give?
Answer: -4.61 eV/atom

Please write out number 4 again, unchanged.
SnHg2Cl8 | PBE | relaxed Values from VASP.

Quantum ESPRESSO input file:
```
&SYSTEM
  ibrav = 0, nat = 11, ntyp = 3
/
ATOMIC_SPECIES
Cl 35.45 Cl.upf
Hg 200.59 Hg.upf
Sn 118.71 Sn.upf
ATOMIC_POSITIONS crystal
Cl 0.2307 0.0618 0.7556
Cl 0.1843 0.2150 0.2150
Cl 0.2290 0.5589 0.5589
Cl 0.2307 0.7556 0.0618
Cl 0.8157 0.7850 0.7850
Cl 0.7693 0.9382 0.2444
Cl 0.7710 0.4411 0.4411
Cl 0.7693 0.2444 0.9382
Hg 0.5354 0.2816 0.2816
Hg 0.4646 0.7184 0.7184
Sn 0.0000 0.0000 0.0000
CELL_PARAMETERS angstrom
-1.7689 -5.4098 -3.1031
7.2493 -1.6143 -1.9375
0.3039 -4.1531 6.4476
```

Summary:
space group	C2/m
final energy	-2.43	eV/atom
energy relative to the elements, uncorrected	-0.667	eV/atom